The following is a PBE+U calculation of a relaxed structure of MnBiI2O, from the Alexandria database.

extended XYZ file:
```
5
Lattice="6.335 0.000 0.000 0.000 6.335 0.000 0.000 0.000 4.348" Properties=species:S:1:pos:R:3 pbc="T T T"
Mn 0.000 0.000 0.000
Bi 3.168 3.168 2.174
I 0.000 3.168 2.174
I 3.168 0.000 2.174
O 3.168 3.168 0.000
```

Summary:
Magnetic moment, μB per formula unit: 6.0
Energy above the most stable polymorph in this dataset, meV/atom: 262
Symmetry: P4/mmm (123)